Pr3SmEr3Se8: relaxed, PBE.

## Properties
- DOS(E_F): 6.69 states/eV per cell
- Energy relative to the elements, uncorrected: -1.841 eV/atom

Cell and atoms, written as CIF:
```
data_Pr3SmEr3Se8
_chemical_formula_sum 'Pr3 Sm1 Er3 Se8'
_space_group_name_H-M_alt 'P 1'
_space_group_IT_number 1
_cell_length_a 8.325
_cell_length_b 8.325
_cell_length_c 8.325
_cell_angle_alpha 59.31
_cell_angle_beta 59.31
_cell_angle_gamma 59.31
loop_
_space_group_symop_operation_xyz
'x,y,z'
loop_
_atom_site_label
_atom_site_fract_x
_atom_site_fract_y
_atom_site_fract_z
Pr1 0.000 0.500 0.500
Pr2 0.500 0.000 0.500
Pr3 0.500 0.500 0.000
Sm1 0.500 0.500 0.500
Er1 0.000 0.000 0.500
Er2 0.000 0.500 0.000
Er3 0.500 0.000 0.000
Se1 0.233 0.754 0.754
Se2 0.244 0.244 0.244
Se3 0.246 0.246 0.767
Se4 0.246 0.767 0.246
Se5 0.754 0.233 0.754
Se6 0.754 0.754 0.233
Se7 0.756 0.756 0.756
Se8 0.767 0.246 0.246
```